Here is a relaxed HgMoPb2 crystal from Alexandria. Energies are from PBE.

For the total magnetization, the calculation gives 2.0 μB/cell. The value obtained for the formation energy is 0.705 eV per atom. As for the space-group type: I-4m2.

a b c (Å): 5.843 5.843 5.843
angles (deg): 135.86 135.86 64.19
Each line ends with the local moment (μB).
Atoms (fractional coordinates):
Hg 0.500 0.500 0.000  -0.01
Mo 0.750 0.250 0.500  1.91
Pb 0.000 0.000 0.000  -0.02
Pb 0.250 0.750 0.500  -0.03

=====

Here is a relaxed HgMoPb2 crystal from Alexandria. Energies are from PBE.

For the total magnetization, the calculation gives 0.6 μB/cell. The value obtained for the formation energy is 0.534 eV per atom. As for the space-group type: P4mm.

a b c (Å): 3.123 3.124 10.148
angles (deg): 90.00 90.00 90.00
Each line ends with the local moment (μB).
Atoms (fractional coordinates):
Hg 0.000 0.000 0.538  0.02
Mo 0.500 0.500 0.731  0.55
Pb 0.000 0.000 0.947  -0.01
Pb 0.500 0.500 0.284  0.00

=====

Here is a relaxed HgMoPb crystal from Alexandria. Energies are from PBE.

For the total magnetization, the calculation gives 0.0 μB/cell. The value obtained for the formation energy is 0.432 eV per atom. The energy relative to the lowest polymorph listed for this composition is 39.7 meV/atom. As for the space-group type: P1.

a b c (Å): 3.279 5.642 8.033
angles (deg): 93.63 91.58 105.35
Atoms (fractional coordinates):
Hg 0.205 0.995 0.212
Hg 0.884 0.329 0.988
Mo 0.015 0.660 0.710
Mo 0.583 0.773 0.925
Pb 0.467 0.551 0.358
Pb 0.701 0.098 0.629

=====

Here is a relaxed HgMoPb2 crystal from Alexandria. Energies are from PBE.

For the total magnetization, the calculation gives 0.0 μB/cell. The value obtained for the formation energy is 0.475 eV per atom. As for the space-group type: Imm2.

a b c (Å): 7.659 7.659 4.851
angles (deg): 71.54 71.54 22.87
Atoms (fractional coordinates):
Hg 0.568 0.568 0.431
Mo 0.249 0.249 0.251
Pb 0.936 0.936 0.064
Pb 0.746 0.746 0.754